No. 1
A PBEsol-optimized structure of EuAl12O19, computed with meta-GGA SCAN.

Cell and atoms, written as extended XYZ:
```
64
Lattice="-0.7840 2.1907 5.0776 -4.3511 -0.7471 -3.4214 -3.0058 -20.1183 8.2157" Properties=species:S:1:pos:R:3 pbc="T T T"
Eu -3.5028 -9.0275 6.4259
Eu -3.1889 0.0524 -0.5150
Al -4.8228 -17.8625 10.0338
Al -4.5089 -8.7827 3.0930
Al -2.6609 -3.3928 4.1248
Al -5.3529 -14.4312 5.3997
Al -2.2763 -15.2357 6.2218
Al -0.7734 -5.1766 2.1140
Al -1.5059 -10.0789 4.1159
Al -0.0030 -0.0198 0.0081
Al -2.9410 -12.4334 6.4552
Al -3.3307 -11.3446 8.9790
Al -4.5885 -2.1493 1.7457
Al -5.4934 -11.7159 7.2784
Al -4.1988 -3.2381 -0.7781
Al -2.0362 -2.8668 0.9225
Al -4.3354 -14.6002 8.7016
Al -4.0215 -5.5203 1.7608
Al -6.7397 -16.5949 7.6359
Al -6.3526 -17.6766 5.1287
Al -2.0993 -6.7529 4.1444
Al -4.2042 -17.3077 6.8181
Al -2.4865 -5.6712 6.6516
Al -4.6349 -6.0400 4.9622
Al -2.1729 -0.1265 2.7910
Al -4.8649 -11.1649 4.0658
O -6.3392 -13.3165 6.4107
O -5.9196 -14.4890 3.6929
O -1.5352 -3.5749 2.7330
O -3.5907 -14.0891 5.5242
O -1.9548 -2.4023 5.4507
O -4.2837 -2.8022 3.6195
O -2.7299 -18.2714 7.4615
O -1.2270 -8.2123 3.3537
O -5.5817 -9.4153 4.5954
O -5.2257 -10.4102 2.2894
O -1.0976 0.5228 1.2818
O -3.2496 -10.0709 3.8432
O -1.4537 1.5177 3.5878
O -3.4298 1.1784 2.0340
O -4.7746 -10.4372 8.3511
O -4.3883 -11.5164 5.8496
O -2.5167 -2.5509 -0.8014
O -2.2448 -11.1483 7.5351
O -2.9029 -1.4717 1.7001
O -5.0465 -1.8397 0.0146
O -1.8295 -12.2449 5.0004
O -0.3266 -2.1857 0.8926
O -3.3483 -15.7354 7.6942
O -3.7693 -14.5590 10.4208
O -5.1534 -5.3545 3.1640
O -6.1058 -14.9602 8.5836
O -4.7324 -6.5309 0.4374
O -2.3959 -6.1297 2.2747
O -4.0864 -12.9334 8.0209
O -3.7725 -3.8536 1.0801
O -2.9105 -5.0631 4.8069
O -5.6024 -16.1015 6.0818
O -4.9136 -18.5900 5.7492
O -5.2997 -17.5113 8.2493
O -4.1646 -6.3586 6.6848
O -7.4420 -17.8792 6.5647
O -3.7786 -7.4373 4.1847
O -1.6362 -7.0694 5.8693
```

E in eV per atom: -11.6533
Symmetry: P6_3mc (186)
Energy relative to the elements, uncorrected in eV per atom: -3.37

No. 2
A PBEsol-optimized structure of TaIr2Cl, computed with meta-GGA SCAN.

Cell and atoms, written as extended XYZ:
```
4
Lattice="-2.2234 -1.3645 1.0781 -1.2238 -1.4271 -4.3301 2.6382 -3.8782 0.5325" Properties=species:S:1:pos:R:3 pbc="T T T"
Cl -1.1117 -0.6822 0.5391
Ir 1.3191 -1.9391 0.2663
Ir -0.6119 -0.7135 -2.1650
Ta -0.4045 -3.3349 -1.3597
```

E in eV per atom: -53.4280
Symmetry: P4/mmm (123)
Energy relative to the elements, uncorrected in eV per atom: 0.76
Energy relative to the lowest polymorph listed for this composition in meV/atom: 624

No. 3
A PBEsol-optimized structure of Cu8O7, computed with meta-GGA SCAN.

Cell and atoms, written as extended XYZ:
```
15
Lattice="5.7286 0.0009 0.0687 0.0052 5.7286 0.0687 2.7813 2.7792 5.0710" Properties=species:S:1:pos:R:3 pbc="T T T"
Cu 2.1230 2.0760 3.7566
Cu 7.8108 4.9401 4.0067
Cu 3.5716 3.5227 1.2280
Cu 3.5692 0.7016 1.2018
Cu 4.9898 4.9398 3.9805
Cu 4.9301 2.0762 3.7910
Cu 6.4353 3.5803 1.4175
Cu 6.4375 6.3874 1.4519
O 0.7367 2.1342 0.0841
O 0.7343 4.9990 0.0687
O 6.3803 7.7737 5.1244
O 3.5551 4.9574 2.6042
O 3.5445 2.0999 2.4198
O 6.4046 2.1057 2.6042
O 6.4125 4.9659 2.7887
```

E in eV per atom: -11.6787
Symmetry: C2 (5)
Energy relative to the elements, uncorrected in eV per atom: -0.66
Energy relative to the lowest polymorph listed for this composition in meV/atom: 10

No. 4
A PBEsol-optimized structure of ScNb2NiF, computed with meta-GGA SCAN.

Cell and atoms, written as extended XYZ:
```
5
Lattice="3.7113 0.0000 0.0000 0.0000 4.8409 0.0000 0.0000 0.0000 4.8409" Properties=species:S:1:pos:R:3 pbc="T T T"
Sc 1.8556 2.4205 2.4205
Ni 0.0000 0.0000 0.0000
Nb 0.0000 0.0000 2.4205
Nb 0.0000 2.4205 0.0000
F 1.8556 0.0000 0.0000
```

E in eV per atom: -19.5685
Symmetry: P4/mmm (123)
Energy relative to the elements, uncorrected in eV per atom: 0.47